Entry 1:
First-principles (GGA-PBE) data for an optimized crystal structure of Pu6Ge5Ru, as listed in Alexandria via LeMat-Bulk.

abc: 4.4973 8.2026 8.2026
angles: 109.72 105.91 105.91
Closest atoms and distances in Å follow each position.
Fractional coordinates of all 12 atoms:
Ru 0.0000 0.0000 0.0000  8 Pu 2.98-3.03, 4 Ge 3.15
Ge 0.5000 0.1646 0.8354  8 Pu 2.99-3.14, 2 Ru 3.15, 2 Ge 3.20
Ge 0.0000 0.3348 0.6652  8 Pu 3.07-3.09, 4 Ge 3.16-3.20
Ge 0.5000 0.5000 0.5000  8 Pu 3.05-3.10, 4 Ge 3.16
Ge 0.0000 0.6652 0.3348  8 Pu 3.07-3.09, 4 Ge 3.16-3.20
Ge 0.5000 0.8354 0.1646  8 Pu 2.99-3.14, 2 Ru 3.15, 2 Ge 3.20
Pu 0.2445 0.0814 0.4075  1 Ru 2.98, 7 Ge 3.03-3.14, 4 Pu 3.14-3.24
Pu 0.7555 0.5925 0.9186  1 Ru 2.98, 7 Ge 3.03-3.14, 4 Pu 3.14-3.24
Pu 0.7436 0.2437 0.2437  6 Ge 2.99-3.10, 2 Ru 3.02-3.03, 4 Pu 3.14
Pu 0.2564 0.7563 0.7563  6 Ge 2.99-3.10, 2 Ru 3.02-3.03, 4 Pu 3.14
Pu 0.2445 0.4075 0.0814  1 Ru 2.98, 7 Ge 3.03-3.14, 4 Pu 3.14-3.24
Pu 0.7555 0.9186 0.5925  1 Ru 2.98, 7 Ge 3.03-3.14, 4 Pu 3.14-3.24

Calculated values
Calculated formation energy ... -0.330 eV/atom
Magnetic moment ... 0.910 μB/atom
N(E_F) ... 37.2 states/eV per cell
Density ... 12.78 g/cm³

Entry 2:
First-principles (GGA-PBE) data for an optimized crystal structure of NbGeH2N, as listed in Alexandria via LeMat-Bulk.

abc: 3.7203 4.1032 3.7203
angles: 90.00 90.00 90.00
Closest atoms and distances in Å follow each position.
Fractional coordinates of all 5 atoms:
H 0.0000 0.0000 0.5000  2 Nb 1.86
H 0.5000 0.0000 0.0000  2 Nb 1.86
Nb 0.0000 0.0000 0.0000  4 H 1.86, 2 N 2.05
Ge 0.5000 0.5000 0.5000  4 N 2.63, 8 H 2.77
N 0.0000 0.5000 0.0000  2 Nb 2.05

Calculated values
E ... -28.6 eV for the cell shown
Magnetic moment ... 0.000 μB/atom
N(E_F) ... 2.4 states/eV per cell
Density ... 5.31 g/cm³

Entry 3:
First-principles (GGA-PBE) data for an optimized crystal structure of Ac2MnSb3Rh4, as listed in Alexandria via LeMat-Bulk.

abc: 4.5127 4.5127 10.8596
angles: 90.00 90.00 90.00
Closest atoms and distances in Å follow each position.
Fractional coordinates of all 10 atoms:
Ac 0.5000 0.0000 0.2549  8 Rh 3.44-3.57, 6 Sb 3.46-3.49, 2 Mn 3.49
Ac 0.0000 0.5000 0.7451  8 Rh 3.44-3.57, 6 Sb 3.46-3.49, 2 Mn 3.49
Mn 0.5000 0.5000 0.5000  4 Rh 2.65
Sb 0.0000 0.0000 0.5000  4 Rh 2.65
Sb 0.5000 0.0000 0.8694  5 Rh 2.62-2.66
Sb 0.0000 0.5000 0.1306  5 Rh 2.62-2.66
Rh 0.5000 0.5000 0.0000  4 Sb 2.66
Rh 0.0000 0.0000 0.0000  4 Sb 2.66
Rh 0.5000 0.0000 0.6278  3 Sb 2.62-2.65, 2 Mn 2.65
Rh 0.0000 0.5000 0.3722  3 Sb 2.62-2.65, 2 Mn 2.65

Calculated values
Magnetic moment ... 0.428 μB/atom
N(E_F) ... 7.7 states/eV per cell
ΔE_f (raw) ... -71.2 kJ per mole of atoms
Density ... 9.65 g/cm³

Entry 4:
First-principles (GGA-PBE) data for an optimized crystal structure of InGaAs2, as listed in Alexandria via LeMat-Bulk.

abc: 4.2111 5.9924 4.2111
angles: 90.00 90.00 90.00
Closest atoms and distances in Å follow each position.
Fractional coordinates of all 4 atoms:
In 0.0000 0.2500 0.5000  4 As 2.65
Ga 0.5000 0.7500 0.0000  4 As 2.52
As 0.0000 0.9805 0.0000  2 Ga 2.52, 2 In 2.65
As 0.5000 0.5195 0.5000  2 Ga 2.52, 2 In 2.65

Calculated values
Energy above the lowest structure with this stoichiometry ... 13 meV/atom
Calculated formation energy ... -0.278 eV/atom
Magnetic moment ... 0.000 μB/atom
N(E_F) ... 0.1 states/eV per cell
Density ... 5.23 g/cm³

Entry 5:
First-principles (GGA-PBE) data for an optimized crystal structure of Pm4Pr2Sc3, as listed in Alexandria via LeMat-Bulk.

abc: 6.2197 9.1497 11.0245
angles: 71.11 73.83 89.95
Closest atoms and distances in Å follow each position.
Fractional coordinates of all 18 atoms:
Pm 0.4924 0.0726 0.8342  5 Sc 3.46-3.72, 5 Pm 3.49-3.73, 2 Pr 3.54-3.56
Pm 0.9596 0.1988 0.9406  5 Sc 3.47-3.73, 1 Pr 3.51, 6 Pm 3.52-3.73
Pm 0.5076 0.9274 0.1658  5 Sc 3.46-3.72, 5 Pm 3.49-3.73, 2 Pr 3.54-3.56
Pm 0.0404 0.8012 0.0594  5 Sc 3.47-3.73, 1 Pr 3.51, 6 Pm 3.52-3.73
Pm 0.6250 0.8667 0.6074  5 Sc 3.48-3.72, 3 Pm 3.50-3.53, 4 Pr 3.53-3.73
Pm 0.8264 0.4075 0.1650  5 Sc 3.48-3.74, 4 Pm 3.52-3.54, 3 Pr 3.52-3.74
Pm 0.3750 0.1333 0.3926  5 Sc 3.48-3.72, 3 Pm 3.50-3.53, 4 Pr 3.53-3.73
Pm 0.1736 0.5925 0.8350  5 Sc 3.48-3.74, 4 Pm 3.52-3.54, 3 Pr 3.52-3.74
Pr 0.1596 0.7407 0.5000  5 Sc 3.50-3.72, 5 Pm 3.53-3.73, 2 Pr 3.54-3.55
Pr 0.2947 0.5337 0.2722  5 Sc 3.48-3.74, 5 Pm 3.51-3.74, 2 Pr 3.54-3.55
Pr 0.8404 0.2593 0.5000  5 Sc 3.50-3.72, 5 Pm 3.53-3.73, 2 Pr 3.54-3.55
Pr 0.7053 0.4663 0.7278  5 Sc 3.48-3.74, 5 Pm 3.51-3.74, 2 Pr 3.54-3.55
Sc 0.0482 0.9753 0.7271  2 Sc 3.45-3.46, 8 Pm 3.48-3.72, 2 Pr 3.50-3.72
Sc 0.3800 0.3076 0.0604  2 Sc 3.45-3.50, 8 Pm 3.46-3.73, 2 Pr 3.48-3.53
Sc 0.9518 0.0247 0.2729  2 Sc 3.45-3.46, 8 Pm 3.48-3.72, 2 Pr 3.50-3.72
Sc 0.6200 0.6924 0.9396  2 Sc 3.45-3.50, 8 Pm 3.46-3.73, 2 Pr 3.48-3.53
Sc 0.2857 0.3556 0.6084  2 Sc 3.46-3.49, 4 Pm 3.47-3.74, 6 Pr 3.50-3.74
Sc 0.7143 0.6444 0.3916  2 Sc 3.46-3.49, 4 Pm 3.47-3.74, 6 Pr 3.50-3.74

Calculated values
Calculated formation energy ... 0.053 eV/atom
Magnetic moment ... 0.000 μB/atom
N(E_F) ... 29.7 states/eV per cell
Density ... 5.83 g/cm³

Entry 6:
First-principles (GGA-PBE) data for an optimized crystal structure of PuTaV4, as listed in Alexandria via LeMat-Bulk.

abc: 5.1304 5.1304 5.1304
angles: 60.00 60.00 60.00
Closest atoms and distances in Å follow each position.
Fractional coordinates of all 6 atoms:
V 0.6254 0.6254 0.1237  6 V 2.56-2.57
V 0.6254 0.1237 0.6254  6 V 2.56-2.57
V 0.6254 0.6254 0.6254  6 V 2.56-2.57
V 0.1237 0.6254 0.6254  6 V 2.56-2.57
Ta 0.0000 0.0000 0.0000  12 V 3.01, 4 Pu 3.14
Pu 0.2500 0.2500 0.2500  12 V 3.01, 4 Ta 3.14

Calculated values
Calculated formation energy ... 0.204 eV/atom
Magnetic moment ... 0.805 μB/atom
N(E_F) ... 10.6 states/eV per cell
Density ... 10.93 g/cm³